Record 1
PrHoTm2Se4 | PBE | optimized geometry

Results
- size of the total moment (μB per formula unit) = 0.00
- N(E_F) (states/eV/cell) = 3.98
- E_tot (eV per cell) = -45.973

a = 7.0371 Å, b = 4.0138 Å, c = 7.2326 Å
α = 90.00°, β = 108.50°, γ = 90.00°
Space group P2/m (No. 10)
Symmetry-distinct sites (fractional):
Pr (0.0000, 0.0000, 0.0000) (multiplicity 1)
Ho (0.5000, 0.5000, 0.0000) (multiplicity 1)
Tm (0.0000, 0.5000, 0.5000) (multiplicity 1)
Tm (0.5000, 0.0000, 0.5000) (multiplicity 1)
Se (0.2540, 0.0000, 0.7393) (multiplicity 2)
Se (0.2634, 0.5000, 0.2667) (multiplicity 2)

=====

Record 2
As2WSBr | PBE | optimized geometry

Results
- size of the total moment (μB per formula unit) = 2.56
- N(E_F) (states/eV/cell) = 3.05
- distance to the lowest polymorph of the same formula (eV per atom) = 0.774

a = 4.7380 Å, b = 4.7380 Å, c = 4.9324 Å
α = 90.00°, β = 90.00°, γ = 90.00°
Space group P4/mmm (No. 123)
Symmetry-distinct sites (fractional):
As (0.0000, 0.5000, 0.0000) (multiplicity 2)
W (0.0000, 0.0000, 0.5000) (multiplicity 1)
S (0.5000, 0.5000, 0.0000) (multiplicity 1)
Br (0.5000, 0.5000, 0.5000) (multiplicity 1)

=====

Record 3
AcCuTe | PBE | optimized geometry

Results
- size of the total moment (μB per formula unit) = 0.00
- N(E_F) (states/eV/cell) = 1.11
- distance to the lowest polymorph of the same formula (eV per atom) = 0.042

a = 4.2876 Å, b = 5.7727 Å, c = 7.1111 Å
α = 101.89°, β = 90.05°, γ = 90.00°
Space group P-1 (No. 2)
Symmetry-distinct sites (fractional):
Ac (0.2504, 0.1939, 0.2415) (multiplicity 2)
Cu (0.2499, 0.6818, 0.0248) (multiplicity 2)
Te (0.2495, 0.2957, 0.7303) (multiplicity 2)

=====

Record 4
La2Nd5Ho2 | PBE | optimized geometry

Results
- size of the total moment (μB per formula unit) = 0.00
- N(E_F) (states/eV/cell) = 30.15
- DFT formation energy (kJ per mole of atoms) = 1.92
- distance to the lowest polymorph of the same formula (eV per atom) = 0.000

a = 15.5377 Å, b = 5.1896 Å, c = 8.1733 Å
α = 90.00°, β = 108.40°, γ = 90.00°
Space group C2/m (No. 12)
Symmetry-distinct sites (fractional):
La (0.1662, 0.0000, 0.4994) (multiplicity 4)
Nd (0.0000, 0.5000, 0.5000) (multiplicity 2)
Nd (0.0576, 0.0000, 0.8359) (multiplicity 4)
Nd (0.1122, 0.5000, 0.1643) (multiplicity 4)
Ho (0.2226, 0.5000, 0.8373) (multiplicity 4)

=====

Record 5
BaLi2CeSe4 | PBE | optimized geometry

Results
- size of the total moment (μB per formula unit) = 0.00
- E_tot (eV per cell) = -74.801

a = 7.2743 Å, b = 7.2743 Å, c = 8.5116 Å
α = 90.00°, β = 90.00°, γ = 90.00°
Space group I-42m (No. 121)
Symmetry-distinct sites (fractional):
Ba (0.0000, 0.0000, 0.0000) (multiplicity 2)
Li (0.0000, 0.5000, 0.2500) (multiplicity 4)
Ce (0.0000, 0.0000, 0.5000) (multiplicity 2)
Se (0.2184, 0.2184, 0.3102) (multiplicity 8)

=====

Record 6
Tm3Sc | PBE | optimized geometry

Results
- size of the total moment (μB per formula unit) = 0.00
- N(E_F) (states/eV/cell) = 6.78
- DFT formation energy (kJ per mole of atoms) = 4.37
- distance to the lowest polymorph of the same formula (eV per atom) = 0.035

a = 4.8530 Å, b = 4.8530 Å, c = 4.8530 Å
α = 90.00°, β = 90.00°, γ = 90.00°
Space group Pm-3m (No. 221)
Symmetry-distinct sites (fractional):
Tm (0.0000, 0.0000, 0.5000) (multiplicity 3)
Sc (0.5000, 0.5000, 0.5000) (multiplicity 1)